1.
This record from Alexandria describes LiTcSbW2 after structural relaxation. The functional is PBE.

space group: P4/mmm, No. 123

Cell lengths 4.3176, 4.3199, 4.3176 Å; angles 90.00, 90.00, 90.00 degrees
With the nearest neighbours (Å) after each atom.
Fractional coordinates of all 5 atoms:
Sb 0.0000 0.5000 0.0000  2 Li 2.16
Tc 0.5000 0.5000 0.5000  4 Sb 3.05, 8 W 3.05
W 0.0000 0.0000 0.5000  2 Li 2.16
W 0.5000 0.0000 0.0000  2 Li 2.16
Li 0.0000 0.0000 0.0000  4 W 2.16, 2 Sb 2.16

=====

2.
This record from Alexandria describes CuMo4Cl2 after structural relaxation. The functional is PBE.

space group: I4/mmm, No. 139

Cell lengths 4.5252, 4.5252, 6.9459 Å; angles 70.99, 70.99, 90.00 degrees
With the nearest neighbours (Å) after each atom.
Fractional coordinates of all 7 atoms:
Mo 0.7952 0.7952 0.4097  1 Cl 2.30, 1 Cu 2.53
Mo 0.2048 0.2048 0.5903  1 Cl 2.30, 1 Cu 2.53
Mo 0.0000 0.5000 0.0000  2 Cu 2.26
Mo 0.5000 0.0000 0.0000  2 Cu 2.26
Cu 0.0000 0.0000 0.0000  6 Mo 2.26-2.53
Cl 0.6088 0.6088 0.7825  1 Mo 2.30
Cl 0.3912 0.3912 0.2175  1 Mo 2.30

=====

no.,E_tot (eV/atom),ρ (g cm⁻³),spin magnetization (μB per cell)
1,-6.9610,12.256,1.94
2,-5.7681,6.816,0.31